# 1
DFT (PBE) results for crystalline Pr3Nd2Y6Pu at its relaxed geometry.

- Magnetic moment: 0.539 μB/atom
- Calculated volume: 33.1 Å³/atom
- Formation energy: 0.99 kcal/mol of atoms
- Symmetry: C2/m, No. 12

Structure (POSCAR):
```
Pr3Nd2Y6Pu
1.0
3.136 -5.434 0.000
3.136 5.434 0.000
-2.093 0.000 11.672
Pr Nd Y Pu
3 2 6 1
Cartesian
0.000 0.000 0.000 Pr
3.136 1.816 0.000 Pr
3.136 -1.816 0.000 Pr
2.089 3.623 5.836 Nd
2.089 -3.623 5.836 Nd
1.059 1.787 2.959 Y
0.024 0.000 8.713 Y
1.059 -1.787 2.959 Y
3.118 1.787 8.712 Y
4.153 0.000 2.959 Y
3.118 -1.787 8.712 Y
2.089 0.000 5.836 Pu
```

# 2
DFT (PBE) results for crystalline Rb2PrNdS4 at its relaxed geometry.

- Magnetic moment: 0.000 μB/atom
- Calculated volume: 30.1 Å³/atom
- ΔE_f (raw): -41.98 kcal/mol of atoms
- Symmetry: P2/m, No. 10

Structure (POSCAR):
```
Rb2PrNdS4
1.0
7.348 0.000 0.000
0.000 4.242 0.000
-2.447 0.000 7.726
Rb Pr Nd S
2 1 1 4
Cartesian
0.000 0.000 0.000 Rb
3.674 2.121 0.000 Rb
-1.223 2.121 3.863 Pr
2.451 0.000 3.863 Nd
0.013 0.000 5.394 S
1.238 2.121 2.337 S
3.663 2.121 5.389 S
4.889 0.000 2.332 S
```